1.
{
  "formula": "TbThIrRh",
  "functional": "PBE-GGA",
  "state": "optimized geometry",
  "relative_energy_mev_per_atom": 106,
  "sg": "F-43m (216)",
  "energy_ev_per_atom": -7.867,
  "crystal_system": "cubic",
  "lattice": [[4.973, 0.000, 0.000], [2.487, 4.307, 0.000], [2.487, 1.436, 4.061]],
  "species": ["Ir", "Tb", "Th", "Rh"],
  "frac_coords": [[0.000, 0.000, 0.000], [0.250, 0.250, 0.250], [0.750, 0.750, 0.750], [0.500, 0.500, 0.500]]
}

2.
{
  "formula": "TbTiIrRh",
  "functional": "PBE-GGA",
  "state": "optimized geometry",
  "sg": "F-43m (216)",
  "energy_ev_per_atom": -7.854,
  "crystal_system": "cubic",
  "lattice": [[4.638, 0.000, 0.000], [2.319, 4.016, 0.000], [2.319, 1.339, 3.787]],
  "species": ["Rh", "Tb", "Ir", "Ti"],
  "frac_coords": [[0.500, 0.500, 0.500], [0.750, 0.750, 0.750], [0.000, 0.000, 0.000], [0.250, 0.250, 0.250]]
}

3.
{
  "formula": "TbYIrRh",
  "functional": "PBE-GGA",
  "state": "optimized geometry",
  "sg": "F-43m (216)",
  "energy_ev_per_atom": -7.666,
  "crystal_system": "cubic",
  "lattice": [[-2.308, 2.629, -3.377], [-4.854, -0.107, -0.267], [-2.593, 3.900, 1.307]],
  "species": ["Rh", "Y", "Tb", "Ir"],
  "frac_coords": [[0.000, 0.000, 0.000], [0.750, 0.750, 0.750], [0.250, 0.250, 0.250], [0.500, 0.500, 0.500]]
}

4.
{
  "formula": "TbZnIrRh",
  "functional": "PBE-GGA",
  "state": "optimized geometry",
  "sg": "F-43m (216)",
  "energy_ev_per_atom": -6.033,
  "crystal_system": "cubic",
  "lattice": [[4.590, 0.000, 0.000], [2.295, 3.975, 0.000], [2.295, 1.325, 3.747]],
  "species": ["Ir", "Tb", "Rh", "Zn"],
  "frac_coords": [[0.250, 0.250, 0.250], [0.500, 0.500, 0.500], [0.750, 0.750, 0.750], [0.000, 0.000, 0.000]]
}

5.
{
  "formula": "Tb2Zn5IrRh2",
  "functional": "PBE-GGA",
  "state": "optimized geometry",
  "sg": "P4/mbm (127)",
  "energy_ev_per_atom": -4.356,
  "crystal_system": "tetragonal",
  "lattice": [[3.873, 0.000, 0.000], [0.000, 9.453, 0.000], [0.000, 0.000, 9.453]],
  "species": ["Tb", "Tb", "Tb", "Tb", "Zn", "Zn", "Zn", "Zn", "Zn", "Zn", "Zn", "Zn", "Zn", "Zn", "Rh", "Rh", "Rh", "Rh", "Ir", "Ir"],
  "frac_coords": [[0.000, 0.177, 0.323], [0.000, 0.823, 0.677], [0.000, 0.323, 0.823], [0.000, 0.677, 0.177], [0.500, 0.445, 0.308], [0.500, 0.308, 0.555], [0.500, 0.500, 0.000], [0.500, 0.192, 0.055], [0.500, 0.000, 0.500], [0.500, 0.692, 0.445], [0.500, 0.555, 0.692], [0.500, 0.808, 0.945], [0.500, 0.945, 0.192], [0.500, 0.055, 0.808], [0.000, 0.876, 0.376], [0.000, 0.376, 0.124], [0.000, 0.624, 0.876], [0.000, 0.124, 0.624], [0.000, 0.500, 0.500], [0.000, 0.000, 0.000]]
}

6.
{
  "formula": "Tc2IrRh",
  "functional": "PBE-GGA",
  "state": "optimized geometry",
  "relative_energy_mev_per_atom": 108,
  "sg": "P-1 (2)",
  "energy_ev_per_atom": -9.361,
  "crystal_system": "triclinic",
  "lattice": [[5.404, -0.012, 0.976], [-0.013, 5.482, -0.009], [1.337, 0.008, 8.018]],
  "species": ["Tc", "Tc", "Tc", "Tc", "Tc", "Tc", "Tc", "Tc", "Ir", "Ir", "Ir", "Ir", "Rh", "Rh", "Rh", "Rh"],
  "frac_coords": [[0.689, 0.123, 0.370], [0.434, 0.123, 0.880], [0.936, 0.626, 0.878], [0.064, 0.374, 0.122], [0.185, 0.623, 0.371], [0.566, 0.877, 0.120], [0.815, 0.377, 0.629], [0.311, 0.877, 0.630], [0.062, 0.876, 0.128], [0.938, 0.124, 0.872], [0.187, 0.126, 0.378], [0.813, 0.874, 0.622], [0.686, 0.625, 0.377], [0.439, 0.624, 0.872], [0.314, 0.375, 0.623], [0.561, 0.376, 0.128]]
}

7.
{
  "formula": "TcIrRh4",
  "functional": "PBE-GGA",
  "state": "optimized geometry",
  "relative_energy_mev_per_atom": 0,
  "sg": "Cmc2_1 (36)",
  "energy_ev_per_atom": -8.182,
  "crystal_system": "orthorhombic",
  "lattice": [[-1.649, 2.142, 0.380], [-3.594, -5.141, 3.585], [4.400, 2.077, 7.389]],
  "species": ["Ir", "Ir", "Rh", "Rh", "Rh", "Rh", "Rh", "Rh", "Rh", "Rh", "Tc", "Tc"],
  "frac_coords": [[0.777, 0.554, 0.517], [0.223, 0.446, 0.017], [0.004, 0.007, 0.770], [0.889, 0.778, 0.020], [0.672, 0.344, 0.266], [0.996, 0.993, 0.270], [0.328, 0.656, 0.766], [0.556, 0.112, 0.020], [0.444, 0.888, 0.520], [0.111, 0.222, 0.520], [0.334, 0.669, 0.269], [0.666, 0.331, 0.769]]
}

8.
{
  "formula": "TcIrRh",
  "functional": "PBE-GGA",
  "state": "optimized geometry",
  "relative_energy_mev_per_atom": 206,
  "sg": "P-6m2 (187)",
  "energy_ev_per_atom": -8.789,
  "crystal_system": "hexagonal",
  "lattice": [[-0.369, -2.595, 3.459], [-1.293, -1.390, -3.903], [2.464, -0.975, -0.469]],
  "species": ["Ir", "Rh", "Tc"],
  "frac_coords": [[0.000, 0.000, 0.167], [0.333, 0.667, 0.167], [0.667, 0.333, 0.667]]
}

Number 1: E_form -0.801 eV per atom. Number 2: E_form -0.669 eV per atom. Number 3: E_form -0.839 eV per atom. Number 4: E_form -0.504 eV per atom. Number 5: E_form -0.436 eV per atom. Number 6: E_form -0.125 eV per atom. Number 7: E_form -0.076 eV per atom. Number 8: E_form 0.071 eV per atom.